Computed, not measured: La6BiAs2P3 after structural relaxation at the PBE-GGA level of DFT.

a = 4.3663 Å, b = 8.7951 Å, c = 9.8030 Å
α = 103.12°, β = 102.87°, γ = 90.00°
Closest atoms and distances in Å follow each position.
Element x y z (fractional)
1 As 0.1672 0.3345 0.3343  6 La 3.09-3.13
2 As 0.8328 0.6655 0.6657  6 La 3.09-3.13
3 P 0.1662 0.8314 0.3324  6 La 2.97-3.09
4 P 0.5000 0.5000 0.0000  6 La 2.98-3.10
5 P 0.8338 0.1686 0.6676  6 La 2.97-3.09
6 La 0.6738 0.0840 0.3476  3 P 2.97-3.09, 2 As 3.13, 1 Bi 3.23
7 La 0.6665 0.5863 0.3331  3 P 3.07-3.10, 3 As 3.09-3.11
8 La 0.0012 0.7314 0.0025  3 P 2.98-3.07, 1 As 3.13, 2 Bi 3.22
9 La 0.3335 0.4137 0.6669  3 P 3.07-3.10, 3 As 3.09-3.11
10 La 0.9988 0.2686 0.9975  3 P 2.98-3.07, 1 As 3.13, 2 Bi 3.22
11 La 0.3262 0.9160 0.6524  3 P 2.97-3.09, 2 As 3.13, 1 Bi 3.23
12 Bi 0.5000 0.0000 0.0000  6 La 3.22-3.23

Output
Its space-group type is C2/m, No. 12. Its crystal system is monoclinic. The value obtained for the energy is -76.503 eV for the cell shown. The value obtained for the calculated formation energy is -1461 meV per atom.

=====

Computed, not measured: BaTc3B after structural relaxation at the PBE-GGA level of DFT.

a = 5.1132 Å, b = 5.1132 Å, c = 5.1132 Å
α = 90.00°, β = 90.00°, γ = 90.00°
Closest atoms and distances in Å follow each position.
Element x y z (fractional)
1 Tc 0.0000 0.5000 0.0000  2 Ba 2.56
2 Tc 0.5000 0.0000 0.0000  2 Ba 2.56
3 Tc 0.0000 0.0000 0.5000  2 Ba 2.56
4 B 0.5000 0.5000 0.5000  12 Tc 3.62
5 Ba 0.0000 0.0000 0.0000  6 Tc 2.56

Output
As for the distance to the lowest polymorph of the same formula: 2.973 eV/atom. Its space-group type is Pm-3m, No. 221. Its crystal system is cubic. The value obtained for the energy is -20.748 eV for the cell shown. The value obtained for the calculated formation energy is 3790 meV per atom.

=====

Computed, not measured: LiInSn2I6 after structural relaxation at the PBE-GGA level of DFT.

a = 8.0427 Å, b = 8.0383 Å, c = 8.7547 Å
α = 62.59°, β = 62.58°, γ = 59.91°
Closest atoms and distances in Å follow each position.
Element x y z (fractional)
1 Sn 0.5128 0.5137 0.4604  6 I 3.16-3.28
2 Sn 0.0028 0.0032 0.9902  6 I 3.14-3.26
3 I 0.2512 0.9257 0.2390  1 Li 3.15, 2 Sn 3.16-3.26
4 I 0.3779 0.7248 0.7617  1 Li 3.00, 2 Sn 3.15-3.26
5 I 0.9262 0.5843 0.2389  1 Li 3.14, 2 Sn 3.17-3.25
6 I 0.1356 0.3777 0.7623  1 Li 3.00, 2 Sn 3.15-3.27
7 I 0.7255 0.1343 0.7627  1 Li 3.00, 2 Sn 3.14-3.28
8 I 0.5837 0.2515 0.2386  1 Li 3.15, 2 Sn 3.17-3.25
9 In 0.8157 0.8160 0.5526  6 I 3.42-3.55
10 Li 0.3303 0.3303 0.0089  6 I 3.00-3.15

Output
Its space-group type is P1, No. 1. Its crystal system is triclinic. The value obtained for the energy is -27.958 eV for the cell shown. For the energy relative to the elements, uncorrected, the calculation gives -0.600 eV/atom.

=====

Computed, not measured: GaBH4 after structural relaxation at the PBE-GGA level of DFT.

a = 6.6786 Å, b = 4.3454 Å, c = 8.7623 Å
α = 67.34°, β = 90.15°, γ = 140.48°
Closest atoms and distances in Å follow each position.
Element x y z (fractional)
1 H 0.1678 0.3367 0.1695  1 B 1.22
2 H 0.7093 0.0574 0.9881  1 B 1.25
3 H 0.4308 0.1338 0.7709  1 Ga 1.56
4 H 0.3499 0.0609 0.4871  1 B 1.25
5 H 0.1730 0.3450 0.6695  1 B 1.22
6 H 0.7031 0.1338 0.2707  1 Ga 1.56
7 H 0.3333 0.3263 0.9798  1 B 1.25
8 H 0.9930 0.3264 0.4807  1 B 1.25
9 B 0.0936 0.5015 0.5827  3 H 1.22-1.25
10 B 0.4060 0.4978 0.0827  3 H 1.22-1.25
11 Ga 0.4734 0.1404 0.2591  1 H 1.56
12 Ga 0.6668 0.1400 0.7592  1 H 1.56

Output
As for the distance to the lowest polymorph of the same formula: 0.021 eV/atom. Its space-group type is P1, No. 1. Its crystal system is triclinic. The value obtained for the energy is -45.534 eV for the cell shown.

=====

Computed, not measured: Sm5Dy12Pu after structural relaxation at the PBE-GGA level of DFT.

a = 10.6682 Å, b = 10.6666 Å, c = 6.1612 Å
α = 106.72°, β = 89.99°, γ = 59.99°
Closest atoms and distances in Å follow each position.
Element x y z (fractional)
1 Sm 0.1650 0.6698 0.5073  1 Pu 3.52, 10 Dy 3.52-3.59, 1 Sm 3.59
2 Sm 0.5000 0.0000 0.5000  10 Dy 3.56-3.58, 2 Sm 3.57
3 Sm 0.8350 0.3302 0.4927  1 Pu 3.52, 10 Dy 3.52-3.59, 1 Sm 3.59
4 Sm 0.6669 0.6661 0.9988  10 Dy 3.56-3.58, 2 Sm 3.57-3.59
5 Sm 0.3331 0.3340 0.0012  10 Dy 3.56-3.58, 2 Sm 3.57-3.59
6 Dy 0.6706 0.0001 0.0002  1 Pu 3.51, 7 Dy 3.51-3.64, 4 Sm 3.58
7 Dy 0.8339 0.6661 0.4990  7 Dy 3.55-3.57, 5 Sm 3.55-3.57
8 Dy 0.0009 0.3301 0.9990  7 Dy 3.51-3.61, 4 Sm 3.52-3.59, 1 Pu 3.53
9 Dy 0.5002 0.3339 0.5013  7 Dy 3.55-3.57, 5 Sm 3.55-3.57
10 Dy 0.6692 0.3300 0.9992  7 Dy 3.51-3.62, 4 Sm 3.52-3.59, 1 Pu 3.53
11 Dy 0.1643 0.0000 0.4998  7 Dy 3.51-3.57, 3 Sm 3.53-3.58, 2 Pu 3.54-3.55
12 Dy 0.9991 0.6700 0.0010  7 Dy 3.51-3.61, 4 Sm 3.52-3.59, 1 Pu 3.53
13 Dy 0.3308 0.6700 0.0008  7 Dy 3.51-3.62, 4 Sm 3.52-3.59, 1 Pu 3.53
14 Dy 0.4998 0.6661 0.4987  7 Dy 3.55-3.57, 5 Sm 3.55-3.57
15 Dy 0.1661 0.3339 0.5010  7 Dy 3.55-3.57, 5 Sm 3.55-3.57
16 Dy 0.8357 0.0000 0.5002  7 Dy 3.51-3.57, 3 Sm 3.53-3.58, 2 Pu 3.54-3.55
17 Dy 0.3294 0.9999 0.9998  1 Pu 3.51, 7 Dy 3.51-3.64, 4 Sm 3.58
18 Pu 0.0000 0.0000 0.0000  10 Dy 3.51-3.55, 2 Sm 3.52

Output
Its space-group type is C2/m, No. 12. Its crystal system is monoclinic. The value obtained for the energy is -92.562 eV for the cell shown. The value obtained for the calculated formation energy is 33 meV per atom.

=====

Computed, not measured: YCr3Pd after structural relaxation at the PBE-GGA level of DFT.

a = 4.4748 Å, b = 4.4748 Å, c = 4.4748 Å
α = 90.00°, β = 90.00°, γ = 90.00°
Closest atoms and distances in Å follow each position.
Element x y z (fractional)
1 Cr 0.0000 0.0000 0.5000  2 Y 2.24
2 Cr 0.0000 0.5000 0.0000  2 Y 2.24
3 Cr 0.5000 0.0000 0.0000  2 Y 2.24
4 Y 0.0000 0.0000 0.0000  6 Cr 2.24
5 Pd 0.5000 0.5000 0.5000  12 Cr 3.16

Output
As for the distance to the lowest polymorph of the same formula: 1.425 eV/atom. Its space-group type is Pm-3m, No. 221. Its crystal system is cubic. The value obtained for the energy is -28.734 eV for the cell shown. The value obtained for the calculated formation energy is 2359 meV per atom.